A relaxed structure of CrIn2Sb2, computed with PBE-GGA.

Results
The calculation puts the raw formation energy at 1.046 eV per formula unit.

a = 7.0539 Å, b = 7.0539 Å, c = 5.4349 Å
α = 90.00°, β = 90.00°, γ = 90.00°
Space group P4/mbm (No. 127)
Unique sites:
Cr 0.0000 0.0000 0.0000 x2
In 0.1774 0.3226 0.5000 x4
Sb 0.1465 0.6465 0.0000 x4


A relaxed structure of CrInSb2, computed with PBE-GGA.

Results
The calculation puts the raw formation energy at 1.300 eV per formula unit.

a = 4.0594 Å, b = 5.3161 Å, c = 9.0336 Å
α = 90.00°, β = 90.00°, γ = 90.00°
Space group Immm (No. 71)
Unique sites:
Cr 0.0000 0.0000 0.0000 x2
In 0.0000 0.0000 0.5000 x2
Sb 0.0000 0.5000 0.2731 x4


A relaxed structure of CrInSb2, computed with PBE-GGA.

Results
The calculation puts the raw formation energy at 1.766 eV per formula unit.

a = 7.3392 Å, b = 7.3392 Å, c = 7.3392 Å
α = 90.00°, β = 90.00°, γ = 90.00°
Space group F-43m (No. 216)
Unique sites:
Cr 0.0000 0.0000 0.0000 x4
In 0.2500 0.2500 0.7500 x4
Sb 0.0000 0.0000 0.5000 x4
Sb 0.2500 0.2500 0.2500 x4


A relaxed structure of CrInSb2, computed with PBE-GGA.

Results
The calculation puts the raw formation energy at 0.989 eV per formula unit.

a = 5.5306 Å, b = 5.8752 Å, c = 6.1553 Å
α = 90.00°, β = 90.00°, γ = 90.00°
Space group Amm2 (No. 38)
Unique sites:
Cr 0.0000 0.0000 0.0000 x2
In 0.5000 0.0000 0.3354 x2
Sb 0.0000 0.0000 0.5320 x2
Sb 0.5000 0.0000 0.8641 x2


A relaxed structure of CrInSb4, computed with PBE-GGA.

Results
The calculation puts the raw formation energy at 2.921 eV per formula unit.

a = 8.8751 Å, b = 8.8751 Å, c = 8.8751 Å
α = 90.00°, β = 90.00°, γ = 90.00°
Space group F-43m (No. 216)
Unique sites:
Cr 0.0000 0.0000 0.0000 x4
In 0.2500 0.2500 0.7500 x4
Sb 0.1250 0.1250 0.3750 x16


A relaxed structure of CrInSb2, computed with PBE-GGA.

Results
The calculation puts the raw formation energy at 0.881 eV per formula unit.

a = 3.3262 Å, b = 3.3262 Å, c = 29.8139 Å
α = 90.00°, β = 90.00°, γ = 120.00°
Space group R-3m (No. 166, hexagonal axes)
Unique sites:
Cr 0.0000 0.0000 0.0000 x3
In 0.0000 0.0000 0.5000 x3
Sb 0.0000 0.0000 0.2704 x6


A relaxed structure of CrInSb2, computed with PBE-GGA.

Results
The calculation puts the raw formation energy at 1.390 eV per formula unit.

a = 4.2624 Å, b = 4.2624 Å, c = 10.7189 Å
α = 90.00°, β = 90.00°, γ = 90.00°
Space group I-4m2 (No. 119)
Unique sites:
Cr 0.0000 0.0000 0.0000 x2
In 0.0000 0.5000 0.7500 x2
Sb 0.0000 0.0000 0.5000 x2
Sb 0.0000 0.5000 0.2500 x2


A relaxed structure of CrInSb2, computed with PBE-GGA.

Results
The calculation puts the raw formation energy at 1.066 eV per formula unit.

a = 6.3023 Å, b = 6.3023 Å, c = 13.0988 Å
α = 90.00°, β = 90.00°, γ = 90.00°
Space group I-42d (No. 122)
Unique sites:
Cr 0.0000 0.0000 0.0000 x4
In 0.0000 0.0000 0.5000 x4
Sb 0.2159 0.2500 0.1250 x8


A relaxed structure of CrInSb2, computed with PBE-GGA.

Results
The calculation puts the raw formation energy at 1.260 eV per formula unit.

a = 6.2377 Å, b = 8.0789 Å, c = 3.8723 Å
α = 90.00°, β = 90.55°, γ = 90.00°
Space group C2/m (No. 12)
Unique sites:
Cr 0.0000 0.0000 0.0000 x2
In 0.0000 0.5000 0.0000 x2
Sb 0.2500 0.2500 0.5000 x4


A relaxed structure of Cr2InSb2, computed with PBE-GGA.

Results
The calculation puts the raw formation energy at 1.412 eV per formula unit.

a = 7.6424 Å, b = 7.6424 Å, c = 3.6795 Å
α = 90.00°, β = 90.00°, γ = 90.00°
Space group P4/mbm (No. 127)
Unique sites:
Cr 0.1361 0.3639 0.0000 x4
In 0.0000 0.0000 0.0000 x2
Sb 0.1615 0.6615 0.5000 x4


A relaxed structure of CrInSb2, computed with PBE-GGA.

Results
The calculation puts the raw formation energy at 1.305 eV per formula unit.

a = 3.3707 Å, b = 3.3707 Å, c = 30.4893 Å
α = 90.00°, β = 90.00°, γ = 120.00°
Space group R3m (No. 160, hexagonal axes)
Unique sites:
Cr 0.0000 0.0000 0.0000 x3
In 0.0000 0.0000 0.7394 x3
Sb 0.0000 0.0000 0.2674 x3
Sb 0.0000 0.0000 0.4872 x3


A relaxed structure of Cr3InSb, computed with PBE-GGA.

Results
The calculation puts the raw formation energy at 5.442 eV per formula unit.

a = 5.1714 Å, b = 5.1714 Å, c = 5.1714 Å
α = 90.00°, β = 90.00°, γ = 90.00°
Space group Pm-3m (No. 221)
Unique sites:
Cr 0.0000 0.0000 0.5000 x3
In 0.5000 0.5000 0.5000 x1
Sb 0.0000 0.0000 0.0000 x1


A relaxed structure of Sr2CrInSb, computed with PBE-GGA.

Results
The calculation puts the raw formation energy at 2.689 eV per formula unit.

a = 6.3333 Å, b = 6.3333 Å, c = 5.4321 Å
α = 90.00°, β = 90.00°, γ = 90.00°
Space group P4/mmm (No. 123)
Unique sites:
Sr 0.0000 0.5000 0.0000 x2
Cr 0.0000 0.0000 0.5000 x1
In 0.5000 0.5000 0.0000 x1
Sb 0.5000 0.5000 0.5000 x1


A relaxed structure of Sr2CrInSb, computed with PBE-GGA.

Results
The calculation puts the raw formation energy at 1.054 eV per formula unit.

a = 5.9030 Å, b = 5.9030 Å, c = 5.1468 Å
α = 90.00°, β = 90.00°, γ = 90.00°
Space group P4/mmm (No. 123)
Unique sites:
Sr 0.0000 0.5000 0.0000 x2
Cr 0.0000 0.0000 0.0000 x1
In 0.0000 0.0000 0.5000 x1
Sb 0.5000 0.5000 0.5000 x1


A relaxed structure of CrInSb2Te, computed with PBE-GGA.

Results
The calculation puts the raw formation energy at 1.585 eV per formula unit.

a = 4.9479 Å, b = 4.9479 Å, c = 5.5279 Å
α = 90.00°, β = 90.00°, γ = 90.00°
Space group P4/mmm (No. 123)
Unique sites:
Cr 0.0000 0.0000 0.0000 x1
In 0.5000 0.5000 0.5000 x1
Sb 0.0000 0.5000 0.0000 x2
Te 0.0000 0.0000 0.5000 x1


A relaxed structure of CrInSb2Te, computed with PBE-GGA.

Results
The calculation puts the raw formation energy at 5.133 eV per formula unit.

a = 5.5670 Å, b = 5.5670 Å, c = 5.7066 Å
α = 90.00°, β = 90.00°, γ = 90.00°
Space group P4/mmm (No. 123)
Unique sites:
Cr 0.0000 0.0000 0.0000 x1
In 0.5000 0.5000 0.5000 x1
Sb 0.0000 0.5000 0.5000 x2
Te 0.5000 0.5000 0.0000 x1


A relaxed structure of TlCr2InSb, computed with PBE-GGA.

Results
The calculation puts the raw formation energy at 4.161 eV per formula unit.

a = 5.1991 Å, b = 5.1991 Å, c = 5.8321 Å
α = 90.00°, β = 90.00°, γ = 90.00°
Space group P4/mmm (No. 123)
Unique sites:
Tl 0.0000 0.0000 0.0000 x1
Cr 0.0000 0.5000 0.5000 x2
In 0.5000 0.5000 0.0000 x1
Sb 0.5000 0.5000 0.5000 x1


A relaxed structure of Sc2Cr2In, computed with PBE-GGA.

Results
The calculation puts the formation energy from the elements at 0.081 eV/atom.

a = 7.3530 Å, b = 7.3530 Å, c = 3.4176 Å
α = 90.00°, β = 90.00°, γ = 90.00°
Space group P4/mbm (No. 127)
Unique sites:
Sc 0.1960 0.3040 0.0000 x4
Cr 0.0913 0.5913 0.5000 x4
In 0.0000 0.0000 0.5000 x2


A relaxed structure of Sc2CrIn2, computed with PBE-GGA.

Results
The calculation puts the formation energy from the elements at -0.054 eV/atom.

a = 7.3519 Å, b = 7.3519 Å, c = 4.1684 Å
α = 90.00°, β = 90.00°, γ = 90.00°
Space group P4/mbm (No. 127)
Unique sites:
Sc 0.1684 0.3316 0.0000 x4
Cr 0.0000 0.0000 0.5000 x2
In 0.1375 0.6375 0.5000 x4


A relaxed structure of Sc3CrIn, computed with PBE-GGA.

Results
The calculation puts the formation energy from the elements at 0.290 eV/atom.

a = 4.8734 Å, b = 4.8734 Å, c = 4.8734 Å
α = 90.00°, β = 90.00°, γ = 90.00°
Space group Pm-3m (No. 221)
Unique sites:
Sc 0.0000 0.0000 0.5000 x3
Cr 0.0000 0.0000 0.0000 x1
In 0.5000 0.5000 0.5000 x1


For each record above, in turn, the calculated M_tot values are 3.4 3.8 4.0 3.6 5.0 1.0 3.9 3.0 4.0 6.6 3.6 12.8 5.0 4.4 1.7 4.0 8.6 0.0 3.6 0.0 μB per formula unit.